(1)
La5Zn2Ag5 (GGA-PBE, relaxed); DOS(E_F) = 11.15 states/eV/f.u.; space group = C2/m; crystal system = monoclinic; formation energy = -0.250 eV/atom
1.0
8.2587 -2.2537 0.0000
8.2587 2.2537 0.0000
-7.6999 0.0000 8.5876
La Zn Ag
5 2 5
direct
0.0000 0.0000 0.0000
0.0997 0.0997 0.4096
0.1982 0.1982 0.8154
0.8018 0.8018 0.1846
0.9003 0.9003 0.5904
0.3542 0.3542 0.7403
0.6458 0.6458 0.2597
0.2601 0.2601 0.3350
0.4357 0.4357 0.1518
0.5000 0.5000 0.5000
0.5643 0.5643 0.8482
0.7399 0.7399 0.6650

***

(2)
LaZn12Ag4 (GGA-PBE, relaxed); DOS(E_F) = 7.90 states/eV/f.u.; space group = Im-3; crystal system = cubic; formation energy = 0.160 eV/atom
1.0
-4.4530 4.4530 4.4530
4.4530 -4.4530 4.4530
4.4530 4.4530 -4.4530
La Zn Ag
1 12 4
direct
0.0000 0.0000 0.0000
0.1469 0.5048 0.3580
0.1469 0.7889 0.6420
0.2111 0.3580 0.8531
0.3580 0.1469 0.5048
0.3580 0.8531 0.2111
0.4952 0.6420 0.8531
0.5048 0.3580 0.1469
0.6420 0.1469 0.7889
0.6420 0.8531 0.4952
0.7889 0.6420 0.1469
0.8531 0.2111 0.3580
0.8531 0.4952 0.6420
0.0000 0.0000 0.5000
0.0000 0.5000 0.0000
0.5000 0.0000 0.0000
0.5000 0.5000 0.5000

***

(3)
La8ZnAg2 (GGA-PBE, relaxed); DOS(E_F) = 12.51 states/eV/f.u.; space group = C2/m; crystal system = monoclinic; formation energy = -0.131 eV/atom
1.0
9.5081 -2.6883 0.0000
9.5081 2.6883 0.0000
-2.3184 0.0000 6.8088
La Zn Ag
8 1 2
direct
0.0190 0.0190 0.2777
0.1984 0.1984 0.8188
0.3319 0.3319 0.5017
0.4116 0.4116 0.0341
0.5884 0.5884 0.9659
0.6681 0.6681 0.4983
0.8016 0.8016 0.1812
0.9810 0.9810 0.7223
0.5000 0.5000 0.5000
0.1728 0.1728 0.2242
0.8272 0.8272 0.7758

***

(4)
La3Zn8Ag (GGA-PBE, relaxed); DOS(E_F) = 4.90 states/eV/f.u.; space group = R3m; crystal system = trigonal; formation energy = -0.259 eV/atom
1.0
2.7812 1.6057 9.1143
-2.7812 1.6057 9.1143
0.0000 -3.2115 9.1143
La Zn Ag
3 8 1
direct
0.0000 0.0000 0.0000
0.1267 0.1267 0.1267
0.6189 0.6189 0.6189
0.0617 0.0617 0.5574
0.0617 0.5574 0.0617
0.0626 0.5622 0.5622
0.3107 0.3107 0.3107
0.5574 0.0617 0.0617
0.5622 0.0626 0.5622
0.5622 0.5622 0.0626
0.8126 0.8126 0.8126
0.4949 0.4949 0.4949

***

no.,ρ (g/cm3)
1,7.09
2,6.37
3,6.64
4,7.12